[1]
Below is a geometry-optimized Li2SbBr structure, with properties calculated at the PBE level.

Structure (POSCAR):
```
Li2SbBr
1.0
3.537 -0.026 0.020
1.792 3.050 0.020
1.730 0.982 7.873
Li Sb Br
2 1 1
direct
0.514 0.514 0.458 Li
0.986 0.986 0.042 Li
0.750 0.750 0.750 Sb
0.250 0.250 0.250 Br
```

Results
Raw formation energy: -0.8720 eV per atom
Distance to the lowest polymorph of the same formula: 0 meV per atom
Space group: No. 166

***

[2]
Below is a geometry-optimized SnSb3Pb2 structure, with properties calculated at the PBE level.

Structure (POSCAR):
```
SnSb3Pb2
1.0
6.614 0.000 0.000
0.000 7.731 -5.703
0.000 -2.848 9.175
Sb Pb Sn
6 4 2
direct
0.000 0.845 0.155 Sb
0.500 0.155 0.845 Sb
0.750 0.500 0.500 Sb
0.250 0.500 0.500 Sb
0.000 0.155 0.845 Sb
0.500 0.845 0.155 Sb
0.250 0.674 0.325 Pb
0.750 0.675 0.326 Pb
0.750 0.326 0.675 Pb
0.250 0.325 0.674 Pb
0.250 0.000 0.000 Sn
0.750 0.000 0.000 Sn
```

Results
Raw formation energy: 0.0637 eV per atom
Space group: No. 65

***

[3]
Below is a geometry-optimized Li2Y3Ga4 structure, with properties calculated at the PBE level.

Structure (POSCAR):
```
Li2Y3Ga4
1.0
-2.541 -3.480 -1.434
4.587 -1.628 3.013
-6.522 2.713 4.975
Ga Y Li
4 3 2
direct
0.737 0.473 0.076 Ga
0.263 0.527 0.924 Ga
0.043 0.086 0.376 Ga
0.957 0.914 0.624 Ga
0.000 0.000 0.000 Y
0.668 0.336 0.660 Y
0.332 0.664 0.340 Y
0.607 0.213 0.276 Li
0.393 0.787 0.724 Li
```

Results
DFT formation energy: -0.51 eV/atom
Space group: No. 12

***

[4]
Below is a geometry-optimized MnCoPSe2 structure, with properties calculated at the PBE level.

Structure (POSCAR):
```
MnCoPSe2
1.0
4.557 0.000 0.000
0.000 4.314 0.000
0.000 0.000 4.557
P Se Co Mn
1 2 1 1
direct
0.500 0.500 0.500 P
0.000 0.000 0.500 Se
0.500 0.000 0.000 Se
0.000 0.500 0.000 Co
0.000 0.000 0.000 Mn
```

Results
Raw formation energy: 0.9434 eV per atom
Space group: No. 123

***

[5]
Below is a geometry-optimized KSb2Te structure, with properties calculated at the PBE level.

Structure (POSCAR):
```
KSb2Te
1.0
-2.861 -5.155 2.482
1.255 -5.686 2.648
-0.150 0.679 5.915
K Sb Te
1 2 1
direct
0.250 0.250 0.250 K
0.464 0.464 0.614 Sb
0.036 0.036 0.886 Sb
0.750 0.750 0.750 Te
```

Results
Raw formation energy: -0.2819 eV per atom
Space group: No. 12

***

[6]
Below is a geometry-optimized Be2AlCu8 structure, with properties calculated at the PBE level.

Structure (POSCAR):
```
Be2AlCu8
1.0
-2.484 -2.839 -0.480
-0.418 1.339 -5.753
5.613 -2.614 1.476
Al Cu Be
1 8 2
direct
0.500 0.000 0.000 Al
0.684 0.929 0.368 Cu
0.953 0.271 0.906 Cu
0.394 0.530 0.788 Cu
0.606 0.470 0.212 Cu
0.047 0.729 0.094 Cu
0.316 0.071 0.632 Cu
0.847 0.781 0.695 Cu
0.153 0.219 0.305 Cu
0.778 0.357 0.555 Be
0.222 0.643 0.445 Be
```

Results
DFT formation energy: -0.08 eV/atom
Space group: No. 12